Record 1
Here is a relaxed LiAl2Si crystal from the Alexandria database. Energies are from PBE.

Cell lengths 7.8929, 7.8929, 4.9988 Å; angles 90.00, 90.00, 90.00 degrees
Closest atoms and distances in Å follow each position.
Space group I-42d (No. 122)
Inequivalent atoms, fractional coordinates:
Li 0.0000 0.0000 0.0000  2 Si 2.50
Al 0.1787 0.2500 0.6250  2 Si 2.50, 2 Al 2.74
Si 0.0000 0.0000 0.5000  2 Li 2.50, 4 Al 2.50

- ΔE_f (raw) (eV per atom) = 0.103
- crystal system = tetragonal
- total DFT energy (no corrections) (eV per atom) = -3.602


Record 2
Here is a relaxed Li2Al2Si crystal from the Alexandria database. Energies are from PBE.

Cell lengths 7.2919, 7.2919, 3.0136 Å; angles 90.00, 90.00, 90.00 degrees
Closest atoms and distances in Å follow each position.
Space group P4/mbm (No. 127)
Inequivalent atoms, fractional coordinates:
Li 0.1670 0.3330 0.0000  6 Al 2.56-2.67
Al 0.1327 0.6327 0.5000  6 Li 2.56-2.67, 1 Al 2.74, 2 Si 2.85
Si 0.0000 0.0000 0.5000  4 Al 2.85, 2 Si 3.01, 8 Li 3.11

- ΔE_f (raw) (eV per atom) = 0.104
- crystal system = tetragonal
- total DFT energy (no corrections) (eV per atom) = -3.243


Record 3
Here is a relaxed Li6AlSi2 crystal from the Alexandria database. Energies are from PBE.

Cell lengths 4.4782, 4.4782, 25.9879 Å; angles 90.00, 90.00, 120.00 degrees
Closest atoms and distances in Å follow each position.
Space group R-3m (No. 166, hexagonal axes)
Inequivalent atoms, fractional coordinates:
Li 0.0000 0.0000 0.0877  3 Si 2.61, 3 Li 2.74
Li 0.0000 0.0000 0.2111  4 Li 2.52-2.74
Li 0.0000 0.0000 0.3081  1 Li 2.52, 1 Si 2.60
Al 0.0000 0.0000 0.5000  2 Si 2.39
Si 0.0000 0.0000 0.4081  1 Al 2.39, 4 Li 2.60-2.61

- ΔE_f (raw) (eV per atom) = -0.199
- crystal system = trigonal
- total DFT energy (no corrections) (eV per atom) = -3.095


Record 4
Here is a relaxed LiAl2Si crystal from the Alexandria database. Energies are from PBE.

Cell lengths 2.7032, 4.7979, 4.9470 Å; angles 90.00, 93.73, 90.00 degrees
Closest atoms and distances in Å follow each position.
Space group P2/m (No. 10)
Inequivalent atoms, fractional coordinates:
Li 0.0000 0.0000 0.0000  2 Li 2.70, 4 Si 2.74-2.89, 4 Al 2.79
Al 0.2956 0.5000 0.2482  5 Al 2.66-2.84, 2 Si 2.74, 2 Li 2.79
Si 0.5000 0.0000 0.5000  2 Si 2.70, 4 Li 2.74-2.89, 4 Al 2.74

- ΔE_f (raw) (eV per atom) = 0.015
- crystal system = monoclinic
- total DFT energy (no corrections) (eV per atom) = -3.691


Record 5
Here is a relaxed LiSmAlSi2 crystal from the Alexandria database. Energies are from PBE.

Cell lengths 4.0962, 4.0962, 10.8968 Å; angles 90.00, 90.00, 90.00 degrees
Closest atoms and distances in Å follow each position.
Space group I-4m2 (No. 119)
Inequivalent atoms, fractional coordinates:
Li 0.0000 0.0000 0.0000  4 Si 2.56
Sm 0.0000 0.5000 0.2500  8 Si 3.13, 4 Li 3.41, 4 Al 3.41
Al 0.0000 0.0000 0.5000  4 Si 2.56
Si 0.0000 0.5000 0.6408  1 Si 2.38, 2 Li 2.56, 2 Al 2.56

- ΔE_f (raw) (eV per atom) = -0.488
- crystal system = tetragonal
- total DFT energy (no corrections) (eV per atom) = -4.732


Record 6
Here is a relaxed Sr2LiAlSi2 crystal from the Alexandria database. Energies are from PBE.

Cell lengths 6.2952, 14.4981, 6.2983 Å; angles 90.00, 90.00, 90.00 degrees
Closest atoms and distances in Å follow each position.
Space group Ibam (No. 72)
Inequivalent atoms, fractional coordinates:
Sr 0.2394 0.1633 0.0000  2 Li 3.22, 5 Si 3.23-3.40, 2 Al 3.28
Li 0.0000 0.0000 0.2500  4 Si 2.74
Al 0.0000 0.5000 0.2500  4 Si 2.61
Si 0.2325 0.3977 0.0000  2 Al 2.61, 2 Li 2.74

- ΔE_f (raw) (eV per atom) = -0.423
- crystal system = orthorhombic
- total DFT energy (no corrections) (eV per atom) = -3.734


Record 7
Here is a relaxed SrLiAlSi2 crystal from the Alexandria database. Energies are from PBE.

Cell lengths 4.8643, 4.8643, 5.6025 Å; angles 90.00, 90.00, 90.00 degrees
Closest atoms and distances in Å follow each position.
Space group P4/mmm (No. 123)
Inequivalent atoms, fractional coordinates:
Sr 0.0000 0.0000 0.0000  2 Al 2.80
Li 0.5000 0.5000 0.0000  4 Sr 3.44, 8 Si 3.71
Al 0.0000 0.0000 0.5000  4 Si 2.43
Si 0.0000 0.5000 0.5000  2 Al 2.43

- ΔE_f (raw) (eV per atom) = 0.498
- crystal system = tetragonal
- distance to the lowest polymorph of the same formula (eV/f.u.) = 4.31
- total DFT energy (no corrections) (eV per atom) = -3.139


Record 8
Here is a relaxed SrLiAl2Si crystal from the Alexandria database. Energies are from PBE.

Cell lengths 4.6764, 4.6764, 5.2527 Å; angles 90.00, 90.00, 90.00 degrees
Closest atoms and distances in Å follow each position.
Space group P4/mmm (No. 123)
Inequivalent atoms, fractional coordinates:
Sr 0.0000 0.0000 0.0000  2 Li 2.63
Li 0.0000 0.0000 0.5000  4 Al 2.34
Al 0.0000 0.5000 0.5000  2 Li 2.34
Si 0.5000 0.5000 0.0000  4 Sr 3.31, 8 Al 3.52

- ΔE_f (raw) (eV per atom) = 0.459
- crystal system = tetragonal
- total DFT energy (no corrections) (eV per atom) = -2.842


Record 9
Here is a relaxed SrLiAlSi2 crystal from the Alexandria database. Energies are from PBE.

Cell lengths 4.3494, 4.3494, 10.5337 Å; angles 90.00, 90.00, 90.00 degrees
Closest atoms and distances in Å follow each position.
Space group I-4m2 (No. 119)
Inequivalent atoms, fractional coordinates:
Sr 0.0000 0.0000 0.0000  8 Si 3.30, 4 Li 3.42, 4 Al 3.42
Li 0.0000 0.5000 0.7500  4 Si 2.60
Al 0.0000 0.5000 0.2500  4 Si 2.60
Si 0.0000 0.0000 0.3858  1 Si 2.41, 2 Li 2.60, 2 Al 2.60

- ΔE_f (raw) (eV per atom) = -0.365
- crystal system = tetragonal
- distance to the lowest polymorph of the same formula (eV/f.u.) = 0.00
- total DFT energy (no corrections) (eV per atom) = -4.002


Record 10
Here is a relaxed LiThAlSi2 crystal from the Alexandria database. Energies are from PBE.

Cell lengths 4.0754, 4.0754, 11.1701 Å; angles 90.00, 90.00, 90.00 degrees
Closest atoms and distances in Å follow each position.
Space group I-4m2 (No. 119)
Inequivalent atoms, fractional coordinates:
Li 0.0000 0.0000 0.0000  4 Si 2.57
Th 0.0000 0.5000 0.2500  8 Si 3.13, 4 Li 3.46, 4 Al 3.46
Al 0.0000 0.0000 0.5000  4 Si 2.57
Si 0.0000 0.5000 0.6403  1 Si 2.45, 2 Li 2.57, 2 Al 2.57

- ΔE_f (raw) (eV per atom) = -0.482
- crystal system = tetragonal
- total DFT energy (no corrections) (eV per atom) = -5.266


Record 11
Here is a relaxed Li2TmAlSi2 crystal from the Alexandria database. Energies are from PBE.

Cell lengths 4.1000, 7.8359, 6.9228 Å; angles 90.00, 90.00, 90.00 degrees
Closest atoms and distances in Å follow each position.
Space group Pmc2_1 (No. 26)
Inequivalent atoms, fractional coordinates:
Li 0.0000 0.0785 0.0000  5 Si 2.86-3.05, 4 Li 3.08-3.13, 2 Al 3.12-3.20
Li 0.5000 0.1707 0.3251  4 Si 2.61-2.66
Tm 0.5000 0.4327 0.9527  5 Si 2.83-2.93, 2 Al 3.11
Al 0.0000 0.3069 0.6160  4 Si 2.49-2.64
Si 0.0000 0.3748 0.2422  2 Al 2.64, 3 Li 2.66-2.86, 4 Tm 2.90-2.93
Si 0.5000 0.1453 0.7051  2 Al 2.49, 2 Li 2.61-2.64

- ΔE_f (raw) (eV per atom) = -0.420
- crystal system = orthorhombic
- total DFT energy (no corrections) (eV per atom) = -4.235


Record 12
Here is a relaxed LiSm4Al crystal from the Alexandria database. Energies are from PBE.

Cell lengths 12.9287, 3.7373, 7.4254 Å; angles 90.00, 106.72, 90.00 degrees
Closest atoms and distances in Å follow each position.
Space group C2/m (No. 12)
Inequivalent atoms, fractional coordinates:
Li 0.0000 0.0000 0.0000  8 Sm 3.21-3.25
Sm 0.1442 0.5000 0.8164  2 Al 3.16, 2 Li 3.21
Sm 0.1506 0.5000 0.3312  2 Al 3.20, 2 Li 3.25, 2 Sm 3.56
Al 0.0000 0.0000 0.5000  8 Sm 3.16-3.20

- DFT formation energy (eV per atom) = -0.0799
- crystal system = monoclinic
- distance to the lowest polymorph of the same formula (eV/f.u.) = 0.00
- total DFT energy (no corrections) (eV per atom) = -4.169